# 1
Material: Tb2Zn7Cd
Method: DFT, PBE
State: relaxed

It has space group P-4m2 (No. 115), with a = 4.144 Å, b = 4.144 Å, c = 11.116 Å, α = 90.00°, β = 90.00° and γ = 90.00°. The asymmetric unit holds Tb at (0.000, 0.500, 0.235), Zn at (0.000, 0.000, 0.000), Zn at (0.000, 0.500, 0.651), Zn at (0.000, 0.500, 0.870), Zn at (0.500, 0.500, 0.000), Zn at (0.500, 0.500, 0.500) and Cd at (0.000, 0.000, 0.500).

As for the crystal system: tetragonal.

=====

# 2
Material: GdHoThPa
Method: DFT, PBE
State: relaxed

It has space group F-43m (No. 216), with a = 7.852 Å, b = 7.852 Å, c = 7.852 Å, α = 90.00°, β = 90.00° and γ = 90.00°. The asymmetric unit holds Gd at (0.000, 0.000, 0.000), Ho at (0.250, 0.250, 0.250), Th at (0.250, 0.250, 0.750) and Pa at (0.000, 0.000, 0.500).

As for the crystal system: cubic.

=====

# 3
Material: NdIn3Cl6
Method: DFT, PBE
State: relaxed

It has space group P2_1/c (No. 14), with a = 7.464 Å, b = 8.392 Å, c = 12.896 Å, α = 90.00°, β = 122.02° and γ = 90.00°. The asymmetric unit holds Nd at (0.000, 0.000, 0.000), In at (0.296, 0.068, 0.774), In at (0.500, 0.000, 0.500), Cl at (0.092, 0.075, 0.232), Cl at (0.253, 0.733, 0.089) and Cl at (0.350, 0.162, 0.037).

As for the crystal system: monoclinic. The value obtained for the energy relative to the elements, uncorrected is -1.41 eV/atom.

=====

# 4
Material: Sc5HgRu4
Method: DFT, PBE
State: relaxed

It has space group P4/mmm (No. 123), with a = 3.251 Å, b = 3.251 Å, c = 16.638 Å, α = 90.00°, β = 90.00° and γ = 90.00°. The asymmetric unit holds Sc at (0.000, 0.000, 0.000), Sc at (0.000, 0.000, 0.189), Sc at (0.000, 0.000, 0.377), Hg at (0.500, 0.500, 0.500), Ru at (0.500, 0.500, 0.097) and Ru at (0.500, 0.500, 0.290).

As for the crystal system: tetragonal.

=====

# 5
Material: Dy4Y3Sc
Method: DFT, PBE
State: relaxed

It has space group I4/mcm (No. 140), with a = 8.823 Å, b = 8.823 Å, c = 12.600 Å, α = 90.00°, β = 90.00° and γ = 90.00°. The asymmetric unit holds Dy at (0.150, 0.350, 0.164), Y at (0.000, 0.000, 0.250), Y at (0.150, 0.350, 0.500) and Sc at (0.000, 0.000, 0.000).

As for the crystal system: tetragonal.

=====

# 6
Material: KCrCoW2
Method: DFT, PBE
State: relaxed

It has space group P4/mmm (No. 123), with a = 4.561 Å, b = 4.561 Å, c = 5.011 Å, α = 90.00°, β = 90.00° and γ = 90.00°. The asymmetric unit holds K at (0.000, 0.000, 0.000), Cr at (0.500, 0.500, 0.000), Co at (0.500, 0.500, 0.500) and W at (0.000, 0.500, 0.500).

As for the crystal system: tetragonal.

=====

# 7
Material: ScGaTe3
Method: DFT, PBE
State: relaxed

It has space group Pm-3m (No. 221), with a = 5.332 Å, b = 5.332 Å, c = 5.332 Å, α = 90.00°, β = 90.00° and γ = 90.00°. The asymmetric unit holds Sc at (0.000, 0.000, 0.000), Ga at (0.500, 0.500, 0.500) and Te at (0.000, 0.500, 0.500).

As for the crystal system: cubic. The value obtained for the energy relative to the elements, uncorrected is 0.09 eV/atom.

=====

# 8
Material: VSi3Tc
Method: DFT, PBE
State: relaxed

It has space group Pm-3m (No. 221), with a = 4.621 Å, b = 4.621 Å, c = 4.621 Å, α = 90.00°, β = 90.00° and γ = 90.00°. The asymmetric unit holds V at (0.000, 0.000, 0.000), Si at (0.000, 0.500, 0.500) and Tc at (0.500, 0.500, 0.500).

As for the crystal system: cubic. The value obtained for the energy relative to the elements, uncorrected is 0.79 eV/atom.

=====

no.,calculated total energy (eV/atom)
1,-2.185
2,-8.546
3,-3.813
4,-7.473
5,-5.424
6,-7.113
7,-3.667
8,-6.363